No. 1
U2InIr: optimized geometry, PBE.

Cell lengths 11.4128, 11.4128, 11.4128 Å; angles 15.11, 15.11, 15.11 degrees
Element x y z (fractional)
1 U 0.0965 0.0965 0.0965
2 U 0.9035 0.9035 0.9035
3 In 0.0000 0.0000 0.0000
4 Ir 0.5000 0.5000 0.5000

Summary:
SG = R-3m, No. 166
magnetization = 3.3 μB per formula unit
volume = 88 Å³ per cell

---

No. 2
TcW2Cl: optimized geometry, PBE.

Cell lengths 2.9326, 4.0746, 5.6824 Å; angles 90.00, 100.24, 90.00 degrees
Element x y z (fractional)
1 Tc 0.0000 0.0000 0.0000
2 W 0.1562 0.0000 0.4368
3 W 0.5133 0.5000 0.1985
4 Cl 0.2485 0.5000 0.7674

Summary:
energy relative to the elements, uncorrected = 0.599 eV/atom
ΔE to the lowest computed polymorph = 235 meV per atom
SG = Pm, No. 6
magnetization = 0.0 μB per formula unit
volume = 67 Å³ per cell

---

No. 3
Zr4AlAs: optimized geometry, PBE.

Cell lengths 5.7181, 5.7181, 5.7181 Å; angles 60.00, 60.00, 60.00 degrees
Element x y z (fractional)
1 Zr 0.1237 0.1237 0.1237
2 Zr 0.1237 0.1237 0.6289
3 Zr 0.1237 0.6289 0.1237
4 Zr 0.6289 0.1237 0.1237
5 Al 0.7500 0.7500 0.7500
6 As 0.5000 0.5000 0.5000

Summary:
ΔE to the lowest computed polymorph = 876 meV per atom
SG = F-43m, No. 216
magnetization = 0.0 μB per formula unit
volume = 132 Å³ per cell

---

No. 4
ZnInCl2: optimized geometry, PBE.

Cell lengths 6.7968, 6.7968, 6.7968 Å; angles 113.16, 113.16, 102.31 degrees
Element x y z (fractional)
1 Zn 0.0000 0.0000 0.0000
2 Zn 0.7500 0.2500 0.5000
3 In 0.2500 0.7500 0.5000
4 In 0.5000 0.5000 0.0000
5 Cl 0.0411 0.6250 0.9161
6 Cl 0.3750 0.2911 0.4161
7 Cl 0.7089 0.1250 0.0839
8 Cl 0.8750 0.9589 0.5839

Summary:
energy relative to the elements, uncorrected = -0.490 eV/atom
ΔE to the lowest computed polymorph = 194 meV per atom
SG = I-42d, No. 122
magnetization = 0.0 μB per formula unit
volume = 239 Å³ per cell

---

No. 5
Pt5Pb3: optimized geometry, PBE.

Cell lengths 8.4966, 8.4966, 5.2821 Å; angles 90.00, 90.00, 120.00 degrees
Element x y z (fractional)
1 Pt 0.0000 0.1888 0.2500
2 Pt 0.0000 0.8112 0.7500
3 Pt 0.1888 0.0000 0.2500
4 Pt 0.1888 0.1888 0.7500
5 Pt 0.3333 0.6667 0.0000
6 Pt 0.3333 0.6667 0.5000
7 Pt 0.6667 0.3333 0.0000
8 Pt 0.6667 0.3333 0.5000
9 Pt 0.8112 0.0000 0.7500
10 Pt 0.8112 0.8112 0.2500
11 Pb 0.0000 0.3826 0.7500
12 Pb 0.0000 0.6174 0.2500
13 Pb 0.3826 0.0000 0.7500
14 Pb 0.3826 0.3826 0.2500
15 Pb 0.6174 0.0000 0.2500
16 Pb 0.6174 0.6174 0.7500

Summary:
ΔE to the lowest computed polymorph = 191 meV per atom
SG = P6_3/mcm, No. 193
magnetization = 0.0 μB per formula unit
volume = 330 Å³ per cell

---

No. 6
Sm3Al3Pd2: optimized geometry, PBE.

Cell lengths 8.3114, 15.4209, 5.6183 Å; angles 90.00, 90.00, 90.00 degrees
Element x y z (fractional)
1 Sm 0.0400 0.1111 0.1173
2 Sm 0.0400 0.3889 0.1173
3 Sm 0.1836 0.2500 0.6137
4 Sm 0.3164 0.7500 0.1137
5 Sm 0.4600 0.6111 0.6173
6 Sm 0.4600 0.8889 0.6173
7 Sm 0.5400 0.1111 0.3827
8 Sm 0.5400 0.3889 0.3827
9 Sm 0.6836 0.2500 0.8863
10 Sm 0.8164 0.7500 0.3863
11 Sm 0.9600 0.6111 0.8827
12 Sm 0.9600 0.8889 0.8827
13 Al 0.1658 0.7500 0.6050
14 Al 0.1844 0.0346 0.6086
15 Al 0.1844 0.4654 0.6086
16 Al 0.3156 0.5346 0.1086
17 Al 0.3156 0.9654 0.1086
18 Al 0.3342 0.2500 0.1050
19 Al 0.6658 0.7500 0.8950
20 Al 0.6844 0.0346 0.8914
21 Al 0.6844 0.4654 0.8914
22 Al 0.8156 0.5346 0.3914
23 Al 0.8156 0.9654 0.3914
24 Al 0.8342 0.2500 0.3950
25 Pd 0.1008 0.6052 0.3746
26 Pd 0.1008 0.8948 0.3746
27 Pd 0.3992 0.1052 0.8746
28 Pd 0.3992 0.3948 0.8746
29 Pd 0.6008 0.6052 0.1254
30 Pd 0.6008 0.8948 0.1254
31 Pd 0.8992 0.1052 0.6254
32 Pd 0.8992 0.3948 0.6254

Summary:
SG = Pnma, No. 62
magnetization = 0.0 μB per formula unit
volume = 720 Å³ per cell

---

Number 1: calculated total energy -8.297 eV per atom. Number 2: calculated total energy -8.931 eV per atom. Number 3: calculated total energy -6.860 eV per atom. Number 4: calculated total energy -2.416 eV per atom. Number 5: calculated total energy -5.055 eV per atom. Number 6: calculated total energy -5.143 eV per atom.